VASP calculation (PBE) on a relaxed AgIrBr2 crystal.

Computed properties:
- Energy above the most stable polymorph in this dataset: 0.950 eV per atom
- Symmetry: No. 216
- Total magnetization: 2.10 μB/cell

Unit cell a=4.9092 b=4.9092 c=4.9092 alpha=60.00 beta=60.00 gamma=60.00
Closest atoms and distances in Å follow each position.
Positions (direct):
Ir (0.7500, 0.7500, 0.7500)  4 Br 3.01, 4 Ag 3.01
Br (0.0000, 0.0000, 0.0000)  4 Ir 3.01, 4 Br 3.01
Br (0.2500, 0.2500, 0.2500)  4 Br 3.01, 4 Ag 3.01
Ag (0.5000, 0.5000, 0.5000)  4 Br 3.01, 4 Ir 3.01

---

VASP calculation (PBE) on a relaxed LaErMnZn crystal.

Computed properties:
- Symmetry: No. 216
- Formation enthalpy at 0 K: 0.0 eV per formula unit
- Total magnetization: 2.79 μB/cell

Unit cell a=5.1245 b=5.1245 c=5.1245 alpha=60.00 beta=60.00 gamma=60.00
Closest atoms and distances in Å follow each position.
Positions (direct):
Zn (0.0000, 0.0000, 0.0000)  4 La 3.14, 4 Er 3.14
La (0.2500, 0.2500, 0.2500)  4 Mn 3.14, 4 Zn 3.14
Mn (0.5000, 0.5000, 0.5000)  4 La 3.14, 4 Er 3.14
Er (0.7500, 0.7500, 0.7500)  4 Mn 3.14, 4 Zn 3.14

---

VASP calculation (PBE) on a relaxed RbTaHg crystal.

Computed properties:
- Energy above the most stable polymorph in this dataset: 1.505 eV per atom
- Symmetry: No. 194
- Formation enthalpy at 0 K: 5.6 eV per formula unit
- Total magnetization: 7.65 μB/cell

Unit cell a=6.0107 b=6.0107 c=11.0971 alpha=90.00 beta=90.00 gamma=120.00
Closest atoms and distances in Å follow each position.
Positions (direct):
Hg (0.0000, 0.0000, 0.2500)  2 Ta 2.77
Hg (0.0000, 0.0000, 0.7500)  2 Ta 2.77
Rb (0.3333, 0.6667, 0.2500)  3 Hg 3.47
Rb (0.6667, 0.3333, 0.7500)  3 Hg 3.47
Ta (0.0000, 0.0000, 0.0000)  2 Hg 2.77
Ta (0.0000, 0.0000, 0.5000)  2 Hg 2.77

---

VASP calculation (PBE) on a relaxed Tm8Ga2Ni3 crystal.

Computed properties:
- Symmetry: No. 12
- Formation enthalpy at 0 K: -3.2 eV per formula unit
- Total magnetization: 0.00 μB/cell

Unit cell a=6.0332 b=6.7859 c=8.4758 alpha=113.60 beta=97.64 gamma=90.00
Closest atoms and distances in Å follow each position.
Positions (direct):
Tm (0.7989, 0.5595, 0.1190)  2 Ni 2.76, 1 Ga 2.77
Tm (0.2011, 0.4405, 0.8810)  2 Ni 2.76, 1 Ga 2.77
Tm (0.8449, 0.1564, 0.3129)  3 Ni 2.96-2.97, 1 Ga 3.07
Tm (0.1551, 0.8436, 0.6871)  3 Ni 2.96-2.97, 1 Ga 3.07
Tm (0.6567, 0.6295, 0.7503)  2 Ni 2.67-2.82, 1 Ga 2.87
Tm (0.6567, 0.1207, 0.7503)  2 Ni 2.67-2.82, 1 Ga 2.87
Tm (0.3433, 0.8793, 0.2497)  2 Ni 2.67-2.82, 1 Ga 2.87
Tm (0.3433, 0.3705, 0.2497)  2 Ni 2.67-2.82, 1 Ga 2.87
Ga (0.3032, 0.2723, 0.5447)  6 Tm 2.77-3.07
Ga (0.6968, 0.7277, 0.4553)  6 Tm 2.77-3.07
Ni (0.5000, 0.0000, 0.0000)  6 Tm 2.82-2.96
Ni (0.0000, 0.1714, 0.0000)  1 Ni 2.33
Ni (0.0000, 0.8286, 0.0000)  1 Ni 2.33

---

VASP calculation (PBE) on a relaxed In2Hg2Pb7 crystal.

Computed properties:
- Energy above the most stable polymorph in this dataset: 0.000 eV per atom
- Symmetry: No. 12
- Formation enthalpy at 0 K: 0.5 eV per formula unit
- Total magnetization: 0.00 μB/cell

Unit cell a=6.4744 b=6.4744 c=8.4378 alpha=102.43 beta=102.43 gamma=97.37
Closest atoms and distances in Å follow each position.
Positions (direct):
In (0.5838, 0.5838, 0.8051)  2 Hg 3.15, 8 Pb 3.24-3.48
In (0.4162, 0.4162, 0.1949)  2 Hg 3.15, 8 Pb 3.24-3.48
Hg (0.2946, 0.7054, 0.5000)  2 In 3.15, 6 Pb 3.15-3.38
Hg (0.7054, 0.2946, 0.5000)  2 In 3.15, 6 Pb 3.15-3.38
Pb (0.9107, 0.5333, 0.1758)  1 Hg 3.15, 3 In 3.24-3.48, 1 Pb 3.37
Pb (0.4667, 0.0893, 0.8242)  1 Hg 3.15, 3 In 3.24-3.48, 1 Pb 3.37
Pb (0.0893, 0.4667, 0.8242)  1 Hg 3.15, 3 In 3.24-3.48, 1 Pb 3.37
Pb (0.5333, 0.9107, 0.1758)  1 Hg 3.15, 3 In 3.24-3.48, 1 Pb 3.37
Pb (0.0000, 0.0000, 0.0000)  2 In 3.40, 10 Pb 3.41-3.68
Pb (0.8349, 0.8349, 0.5734)  4 Hg 3.34-3.38, 1 In 3.34, 4 Pb 3.41-3.67
Pb (0.1651, 0.1651, 0.4266)  4 Hg 3.34-3.38, 1 In 3.34, 4 Pb 3.41-3.67

---

VASP calculation (PBE) on a relaxed P2C crystal.

Computed properties:
- Energy above the most stable polymorph in this dataset: 1.149 eV per atom
- Symmetry: No. 139
- Formation enthalpy at 0 K: 4.7 eV per formula unit
- Total magnetization: 0.00 μB/cell

Unit cell a=5.6212 b=5.6212 c=5.6212 alpha=150.57 beta=150.57 gamma=42.11
Closest atoms and distances in Å follow each position.
Positions (direct):
P (0.1001, 0.1001, 0.0000)  1 P 2.10, 4 C 2.28
P (0.8999, 0.8999, 0.0000)  1 P 2.10, 4 C 2.28
C (0.5000, 0.5000, 0.0000)  8 P 2.28

---

VASP calculation (PBE) on a relaxed Cs2KAs2 crystal.

Computed properties:
- Energy above the most stable polymorph in this dataset: 0.583 eV per atom
- Symmetry: No. 139
- Formation enthalpy at 0 K: 1.1 eV per formula unit
- Total magnetization: 0.00 μB/cell

Unit cell a=7.7660 b=7.7660 c=7.7660 alpha=132.58 beta=132.58 gamma=69.31
Closest atoms and distances in Å follow each position.
Positions (direct):
Cs (0.6402, 0.6402, 0.0000)  4 As 3.42, 1 Cs 3.58
Cs (0.3598, 0.3598, 0.0000)  4 As 3.42, 1 Cs 3.58
K (0.0000, 0.0000, 0.0000)  8 As 4.47, 10 Cs 4.60-4.77
As (0.7500, 0.2500, 0.5000)  4 Cs 3.42
As (0.2500, 0.7500, 0.5000)  4 Cs 3.42

---

VASP calculation (PBE) on a relaxed Sr4Hg3Pd crystal.

Computed properties:
- Symmetry: No. 123
- Formation enthalpy at 0 K: -4.2 eV per formula unit
- Total magnetization: 0.00 μB/cell

Unit cell a=3.9141 b=3.9141 c=15.8508 alpha=90.00 beta=90.00 gamma=90.00
Closest atoms and distances in Å follow each position.
Positions (direct):
Sr (0.0000, 0.0000, 0.8870)  4 Pd 3.30, 4 Hg 3.43, 1 Sr 3.58
Sr (0.0000, 0.0000, 0.1130)  4 Pd 3.30, 4 Hg 3.43, 1 Sr 3.58
Sr (0.0000, 0.0000, 0.3706)  8 Hg 3.44-3.45
Sr (0.0000, 0.0000, 0.6294)  8 Hg 3.44-3.45
Hg (0.5000, 0.5000, 0.2409)  8 Sr 3.43-3.45, 1 Pd 3.82
Hg (0.5000, 0.5000, 0.5000)  8 Sr 3.44
Hg (0.5000, 0.5000, 0.7591)  8 Sr 3.43-3.45, 1 Pd 3.82
Pd (0.5000, 0.5000, 0.0000)  8 Sr 3.30

---

VASP calculation (PBE) on a relaxed CaIN2F crystal.

Computed properties:
- Energy above the most stable polymorph in this dataset: 0.862 eV per atom
- Symmetry: No. 123
- Total magnetization: 4.27 μB/cell

Unit cell a=4.8195 b=4.8195 c=4.2945 alpha=90.00 beta=90.00 gamma=90.00
Closest atoms and distances in Å follow each position.
Positions (direct):
I (0.0000, 0.0000, 0.5000)  2 F 2.15
Ca (0.5000, 0.5000, 0.5000)  8 N 3.23, 4 I 3.41
N (0.0000, 0.5000, 0.0000)  2 F 2.41
N (0.5000, 0.0000, 0.0000)  2 F 2.41
F (0.0000, 0.0000, 0.0000)  2 I 2.15

---

VASP calculation (PBE) on a relaxed TePdWN2 crystal.

Computed properties:
- Energy above the most stable polymorph in this dataset: 1.709 eV per atom
- Symmetry: No. 123
- Total magnetization: 0.00 μB/cell

Unit cell a=3.9213 b=3.9213 c=5.4887 alpha=90.00 beta=90.00 gamma=90.00
Closest atoms and distances in Å follow each position.
Positions (direct):
Te (0.0000, 0.0000, 0.5000)  2 Pd 2.74, 4 W 2.77
Pd (0.0000, 0.0000, 0.0000)  4 N 1.96
W (0.5000, 0.5000, 0.5000)  4 Te 2.77
N (0.0000, 0.5000, 0.0000)  2 Pd 1.96
N (0.5000, 0.0000, 0.0000)  2 Pd 1.96

---

VASP calculation (PBE) on a relaxed NaCaPr2S4 crystal.

Computed properties:
- Symmetry: No. 74
- Energy: -5.589 eV per atom
- Total magnetization: 0.00 μB/cell

Unit cell a=8.1837 b=8.1837 c=8.2106 alpha=120.11 beta=120.11 gamma=89.94
Closest atoms and distances in Å follow each position.
Positions (direct):
Na (0.0000, 0.5000, 0.0000)  6 S 2.90-2.91
Na (0.0000, 0.5000, 0.5000)  6 S 2.90-2.91
Ca (0.5000, 0.5000, 0.5000)  6 S 2.88
Ca (0.0000, 0.0000, 0.0000)  6 S 2.88
Pr (0.5000, 0.0000, 0.0000)  6 S 2.88-2.89
Pr (0.5000, 0.0000, 0.5000)  6 S 2.88-2.89
Pr (0.0000, 0.0000, 0.5000)  6 S 2.90-2.91
Pr (0.5000, 0.5000, 0.0000)  6 S 2.90-2.91
S (0.2526, 0.7541, 0.0034)  3 Pr 2.88-2.90, 1 Ca 2.88, 2 Na 2.91
S (0.7459, 0.2474, 0.4966)  3 Pr 2.88-2.90, 1 Ca 2.88, 2 Na 2.91
S (0.2541, 0.7526, 0.5034)  3 Pr 2.88-2.90, 1 Ca 2.88, 2 Na 2.91
S (0.7474, 0.2459, 0.9966)  3 Pr 2.88-2.90, 1 Ca 2.88, 2 Na 2.91
S (0.7495, 0.7505, 0.9967)  2 Ca 2.88, 3 Pr 2.89-2.91, 1 Na 2.90
S (0.7495, 0.7505, 0.5033)  2 Ca 2.88, 3 Pr 2.89-2.91, 1 Na 2.90
S (0.2505, 0.2495, 0.4967)  2 Ca 2.88, 3 Pr 2.89-2.91, 1 Na 2.90
S (0.2505, 0.2495, 0.0033)  2 Ca 2.88, 3 Pr 2.89-2.91, 1 Na 2.90

---

VASP calculation (PBE) on a relaxed BaSi crystal.

Computed properties:
- Symmetry: No. 44
- Energy: -3.900 eV per atom
- Total magnetization: 0.00 μB/cell

Unit cell a=13.7352 b=5.1698 c=6.6060 alpha=90.00 beta=90.00 gamma=90.00
Closest atoms and distances in Å follow each position.
Positions (direct):
Ba (0.8010, 0.0000, 0.1769)  5 Si 3.34-3.44
Ba (0.1990, 0.0000, 0.1769)  5 Si 3.34-3.44
Ba (0.3010, 0.5000, 0.6769)  5 Si 3.34-3.44
Ba (0.6990, 0.5000, 0.6769)  5 Si 3.34-3.44
Ba (0.0000, 0.5000, 0.8377)  6 Si 3.41-3.56
Ba (0.5000, 0.0000, 0.3377)  6 Si 3.41-3.56
Si (0.8597, 0.0000, 0.6712)  1 Si 2.35
Si (0.1403, 0.0000, 0.6712)  1 Si 2.35
Si (0.3597, 0.5000, 0.1712)  1 Si 2.35
Si (0.6403, 0.5000, 0.1712)  1 Si 2.35
Si (0.0000, 0.0000, 0.4680)  2 Si 2.35
Si (0.5000, 0.5000, 0.9680)  2 Si 2.35